(1)
# GGA-PBE Ba2Ag4Hg5, optimized geometry
data_Ba2Ag4Hg5
_cell_length_a 7.551
_cell_length_b 7.551
_cell_length_c 9.500
_cell_angle_alpha 124.75
_cell_angle_beta 124.75
_cell_angle_gamma 47.99
_space_group_name_H-M_alt 'P 1'
_space_group_IT_number 1
_space_group_name_Hall 'P 1'
loop_
_atom_site_label
_atom_site_fract_x
_atom_site_fract_y
_atom_site_fract_z
_atom_site_occupancy
Ba1 0.223 0.223 0.276 1
Ba2 0.777 0.777 0.724 1
Ag1 0.138 0.138 0.577 1
Ag2 0.267 0.267 0.947 1
Ag3 0.733 0.733 0.053 1
Ag4 0.862 0.862 0.423 1
Hg1 0.227 0.720 0.262 1
Hg2 0.280 0.773 0.738 1
Hg3 0.500 0.500 0.000 1
Hg4 0.720 0.227 0.262 1
Hg5 0.773 0.280 0.738 1
# - energy of formation from the pure elements (meV per atom) = -183
# - symmetry = C2/m, No. 12
# - total energy (eV per atom) = -1.71
# - density (g/cm3) = 9.0
# - density of states at the Fermi level (states/eV/atom) = 0.39
# - crystal system = monoclinic

(2)
# GGA-PBE Ba12Ag6Hg, optimized geometry
data_Ba12Ag6Hg
_cell_length_a 9.962
_cell_length_b 9.962
_cell_length_c 9.962
_cell_angle_alpha 100.64
_cell_angle_beta 100.64
_cell_angle_gamma 100.64
_space_group_name_H-M_alt 'P 1'
_space_group_IT_number 1
_space_group_name_Hall 'P 1'
loop_
_atom_site_label
_atom_site_fract_x
_atom_site_fract_y
_atom_site_fract_z
_atom_site_occupancy
Ba1 0.056 0.675 0.918 1
Ba2 0.082 0.944 0.325 1
Ba3 0.177 0.415 0.569 1
Ba4 0.325 0.082 0.944 1
Ba5 0.415 0.569 0.177 1
Ba6 0.431 0.823 0.585 1
Ba7 0.569 0.177 0.415 1
Ba8 0.585 0.431 0.823 1
Ba9 0.675 0.918 0.056 1
Ba10 0.823 0.585 0.431 1
Ba11 0.918 0.056 0.675 1
Ba12 0.944 0.325 0.082 1
Ag1 0.137 0.619 0.316 1
Ag2 0.316 0.137 0.619 1
Ag3 0.381 0.684 0.863 1
Ag4 0.619 0.316 0.137 1
Ag5 0.684 0.863 0.381 1
Ag6 0.863 0.381 0.684 1
Hg1 0.000 0.000 0.000 1
# - energy of formation from the pure elements (meV per atom) = -146
# - symmetry = R-3, No. 148
# - total energy (eV per atom) = -2.28
# - energy above the most stable polymorph in this dataset (eV per formula unit) = 0.81
# - density (g/cm3) = 4.5
# - density of states at the Fermi level (states/eV/atom) = 0.94
# - crystal system = trigonal

(3)
# GGA-PBE BaAg4Hg, optimized geometry
data_BaAg4Hg
_cell_length_a 5.833
_cell_length_b 5.833
_cell_length_c 5.833
_cell_angle_alpha 60.00
_cell_angle_beta 60.00
_cell_angle_gamma 60.00
_space_group_name_H-M_alt 'P 1'
_space_group_IT_number 1
_space_group_name_Hall 'P 1'
loop_
_atom_site_label
_atom_site_fract_x
_atom_site_fract_y
_atom_site_fract_z
_atom_site_occupancy
Ba1 0.000 0.000 0.000 1
Ag1 0.128 0.624 0.624 1
Ag2 0.624 0.128 0.624 1
Ag3 0.624 0.624 0.128 1
Ag4 0.624 0.624 0.624 1
Hg1 0.250 0.250 0.250 1
# - energy of formation from the pure elements (meV per atom) = -140
# - symmetry = F-43m, No. 216
# - total energy (eV per atom) = -2.41
# - density (g/cm3) = 9.1
# - density of states at the Fermi level (states/eV/atom) = 1.06
# - crystal system = cubic

(4)
# GGA-PBE BaAg2Hg, optimized geometry
data_BaAg2Hg
_cell_length_a 6.085
_cell_length_b 13.617
_cell_length_c 6.004
_cell_angle_alpha 90.00
_cell_angle_beta 114.44
_cell_angle_gamma 90.00
_space_group_name_H-M_alt 'P 1'
_space_group_IT_number 1
_space_group_name_Hall 'P 1'
loop_
_atom_site_label
_atom_site_fract_x
_atom_site_fract_y
_atom_site_fract_z
_atom_site_occupancy
Ba1 0.000 0.120 0.250 1
Ba2 0.000 0.880 0.750 1
Ba3 0.500 0.380 0.750 1
Ba4 0.500 0.620 0.250 1
Ag1 0.121 0.411 0.092 1
Ag2 0.121 0.589 0.592 1
Ag3 0.379 0.089 0.908 1
Ag4 0.379 0.911 0.408 1
Ag5 0.621 0.089 0.592 1
Ag6 0.621 0.911 0.092 1
Ag7 0.879 0.411 0.408 1
Ag8 0.879 0.589 0.908 1
Hg1 0.000 0.242 0.750 1
Hg2 0.000 0.758 0.250 1
Hg3 0.500 0.258 0.250 1
Hg4 0.500 0.742 0.750 1
# - energy of formation from the pure elements (meV per atom) = -220
# - symmetry = C2/c, No. 15
# - total energy (eV per atom) = -2.20
# - density (g/cm3) = 8.1
# - density of states at the Fermi level (states/eV/atom) = 0.51
# - crystal system = monoclinic

(5)
# GGA-PBE BaAg2Hg2, optimized geometry
data_BaAg2Hg2
_cell_length_a 8.412
_cell_length_b 8.412
_cell_length_c 3.707
_cell_angle_alpha 90.00
_cell_angle_beta 90.00
_cell_angle_gamma 90.00
_space_group_name_H-M_alt 'P 1'
_space_group_IT_number 1
_space_group_name_Hall 'P 1'
loop_
_atom_site_label
_atom_site_fract_x
_atom_site_fract_y
_atom_site_fract_z
_atom_site_occupancy
Ba1 0.000 0.000 0.000 1
Ba2 0.500 0.500 0.000 1
Ag1 0.119 0.381 0.000 1
Ag2 0.381 0.881 0.000 1
Ag3 0.619 0.119 0.000 1
Ag4 0.881 0.619 0.000 1
Hg1 0.169 0.669 0.500 1
Hg2 0.331 0.169 0.500 1
Hg3 0.669 0.831 0.500 1
Hg4 0.831 0.331 0.500 1
# - energy of formation from the pure elements (meV per atom) = -101
# - symmetry = P4/mbm, No. 127
# - total energy (eV per atom) = -1.75
# - energy above the most stable polymorph in this dataset (eV per formula unit) = 0.76
# - density (g/cm3) = 9.5
# - density of states at the Fermi level (states/eV/atom) = 0.50
# - crystal system = tetragonal

(6)
# GGA-PBE Ba3Ag6Hg5, optimized geometry
data_Ba3Ag6Hg5
_cell_length_a 4.917
_cell_length_b 14.607
_cell_length_c 10.499
_cell_angle_alpha 90.00
_cell_angle_beta 90.00
_cell_angle_gamma 90.00
_space_group_name_H-M_alt 'P 1'
_space_group_IT_number 1
_space_group_name_Hall 'P 1'
loop_
_atom_site_label
_atom_site_fract_x
_atom_site_fract_y
_atom_site_fract_z
_atom_site_occupancy
Ba1 0.250 0.059 0.248 1
Ba2 0.250 0.441 0.248 1
Ba3 0.250 0.750 0.258 1
Ba4 0.750 0.250 0.742 1
Ba5 0.750 0.559 0.752 1
Ba6 0.750 0.941 0.752 1
Ag1 0.250 0.087 0.877 1
Ag2 0.250 0.250 0.030 1
Ag3 0.250 0.250 0.457 1
Ag4 0.250 0.413 0.877 1
Ag5 0.250 0.634 0.538 1
Ag6 0.250 0.866 0.538 1
Ag7 0.750 0.134 0.462 1
Ag8 0.750 0.366 0.462 1
Ag9 0.750 0.587 0.123 1
Ag10 0.750 0.750 0.543 1
Ag11 0.750 0.750 0.970 1
Ag12 0.750 0.913 0.123 1
Hg1 0.250 0.076 0.599 1
Hg2 0.250 0.424 0.599 1
Hg3 0.250 0.612 0.981 1
Hg4 0.250 0.750 0.762 1
Hg5 0.250 0.888 0.981 1
Hg6 0.750 0.112 0.019 1
Hg7 0.750 0.250 0.238 1
Hg8 0.750 0.388 0.019 1
Hg9 0.750 0.576 0.401 1
Hg10 0.750 0.924 0.401 1
# - energy of formation from the pure elements (meV per atom) = -283
# - symmetry = Pmmn, No. 59
# - total energy (eV per atom) = -2.03
# - density (g/cm3) = 9.1
# - density of states at the Fermi level (states/eV/atom) = 0.44
# - crystal system = orthorhombic

(7)
# GGA-PBE Ba3AgHg2, optimized geometry
data_Ba3AgHg2
_cell_length_a 5.951
_cell_length_b 17.818
_cell_length_c 4.134
_cell_angle_alpha 90.00
_cell_angle_beta 90.00
_cell_angle_gamma 90.00
_space_group_name_H-M_alt 'P 1'
_space_group_IT_number 1
_space_group_name_Hall 'P 1'
loop_
_atom_site_label
_atom_site_fract_x
_atom_site_fract_y
_atom_site_fract_z
_atom_site_occupancy
Ba1 0.000 0.000 0.000 1
Ba2 0.000 0.336 0.000 1
Ba3 0.000 0.664 0.000 1
Ba4 0.500 0.164 0.000 1
Ba5 0.500 0.500 0.000 1
Ba6 0.500 0.836 0.000 1
Ag1 0.000 0.500 0.500 1
Ag2 0.500 0.000 0.500 1
Hg1 0.000 0.169 0.500 1
Hg2 0.000 0.831 0.500 1
Hg3 0.500 0.331 0.500 1
Hg4 0.500 0.669 0.500 1
# - energy of formation from the pure elements (meV per atom) = -420
# - symmetry = Cmmm, No. 65
# - total energy (eV per atom) = -1.96
# - energy above the most stable polymorph in this dataset (eV per formula unit) = 0.01
# - density (g/cm3) = 7.0
# - density of states at the Fermi level (states/eV/atom) = 0.99
# - crystal system = orthorhombic

(8)
# GGA-PBE BaAg4Hg12, optimized geometry
data_BaAg4Hg12
_cell_length_a 8.580
_cell_length_b 8.580
_cell_length_c 8.580
_cell_angle_alpha 109.47
_cell_angle_beta 109.47
_cell_angle_gamma 109.47
_space_group_name_H-M_alt 'P 1'
_space_group_IT_number 1
_space_group_name_Hall 'P 1'
loop_
_atom_site_label
_atom_site_fract_x
_atom_site_fract_y
_atom_site_fract_z
_atom_site_occupancy
Ba1 0.000 0.000 0.000 1
Ag1 0.000 0.000 0.500 1
Ag2 0.000 0.500 0.000 1
Ag3 0.500 0.000 0.000 1
Ag4 0.500 0.500 0.500 1
Hg1 0.156 0.506 0.350 1
Hg2 0.156 0.806 0.650 1
Hg3 0.194 0.350 0.844 1
Hg4 0.350 0.156 0.506 1
Hg5 0.350 0.844 0.194 1
Hg6 0.494 0.650 0.844 1
Hg7 0.506 0.350 0.156 1
Hg8 0.650 0.156 0.806 1
Hg9 0.650 0.844 0.494 1
Hg10 0.806 0.650 0.156 1
Hg11 0.844 0.194 0.350 1
Hg12 0.844 0.494 0.650 1
# - energy of formation from the pure elements (meV per atom) = -8
# - symmetry = Im-3, No. 204
# - total energy (eV per atom) = -1.00
# - density (g/cm3) = 10.2
# - density of states at the Fermi level (states/eV/atom) = 0.35
# - crystal system = cubic

(9)
# GGA-PBE Ba2Ag3Hg2, optimized geometry
data_Ba2Ag3Hg2
_cell_length_a 10.874
_cell_length_b 10.874
_cell_length_c 8.342
_cell_angle_alpha 90.00
_cell_angle_beta 90.00
_cell_angle_gamma 154.97
_space_group_name_H-M_alt 'P 1'
_space_group_IT_number 1
_space_group_name_Hall 'P 1'
loop_
_atom_site_label
_atom_site_fract_x
_atom_site_fract_y
_atom_site_fract_z
_atom_site_occupancy
Ba1 0.061 0.939 0.750 1
Ba2 0.161 0.839 0.250 1
Ba3 0.839 0.161 0.750 1
Ba4 0.939 0.061 0.250 1
Ag1 0.224 0.776 0.750 1
Ag2 0.443 0.557 0.581 1
Ag3 0.443 0.557 0.919 1
Ag4 0.557 0.443 0.081 1
Ag5 0.557 0.443 0.419 1
Ag6 0.776 0.224 0.250 1
Hg1 0.315 0.685 0.056 1
Hg2 0.315 0.685 0.444 1
Hg3 0.685 0.315 0.556 1
Hg4 0.685 0.315 0.944 1
# - energy of formation from the pure elements (meV per atom) = -315
# - symmetry = Cmcm, No. 63
# - total energy (eV per atom) = -2.17
# - energy above the most stable polymorph in this dataset (eV per formula unit) = 0.00
# - density (g/cm3) = 8.0
# - density of states at the Fermi level (states/eV/atom) = 0.51
# - crystal system = orthorhombic

(10)
# GGA-PBE Ba3Ag8Hg3, optimized geometry
data_Ba3Ag8Hg3
_cell_length_a 9.161
_cell_length_b 9.161
_cell_length_c 10.409
_cell_angle_alpha 124.18
_cell_angle_beta 124.18
_cell_angle_gamma 31.16
_space_group_name_H-M_alt 'P 1'
_space_group_IT_number 1
_space_group_name_Hall 'P 1'
loop_
_atom_site_label
_atom_site_fract_x
_atom_site_fract_y
_atom_site_fract_z
_atom_site_occupancy
Ba1 0.000 0.000 0.000 1
Ba2 0.310 0.310 0.310 1
Ba3 0.690 0.690 0.690 1
Ag1 0.121 0.121 0.842 1
Ag2 0.123 0.123 0.399 1
Ag3 0.320 0.320 0.666 1
Ag4 0.497 0.497 0.716 1
Ag5 0.503 0.503 0.284 1
Ag6 0.680 0.680 0.334 1
Ag7 0.877 0.877 0.601 1
Ag8 0.879 0.879 0.158 1
Hg1 0.000 0.000 0.500 1
Hg2 0.329 0.329 0.966 1
Hg3 0.671 0.671 0.034 1
# - energy of formation from the pure elements (meV per atom) = -239
# - symmetry = C2/m, No. 12
# - total energy (eV per atom) = -2.34
# - density (g/cm3) = 8.5
# - density of states at the Fermi level (states/eV/atom) = 0.44
# - crystal system = monoclinic

(11)
# GGA-PBE BaAgHg14, optimized geometry
data_BaAgHg14
_cell_length_a 10.023
_cell_length_b 10.234
_cell_length_c 10.277
_cell_angle_alpha 70.99
_cell_angle_beta 71.09
_cell_angle_gamma 66.55
_space_group_name_H-M_alt 'P 1'
_space_group_IT_number 1
_space_group_name_Hall 'P 1'
loop_
_atom_site_label
_atom_site_fract_x
_atom_site_fract_y
_atom_site_fract_z
_atom_site_occupancy
Ba1 0.215 0.215 0.380 1
Ba2 0.785 0.785 0.620 1
Ag1 0.000 0.000 0.000 1
Ag2 0.500 0.500 0.500 1
Hg1 0.000 0.001 0.340 1
Hg2 0.000 0.999 0.660 1
Hg3 0.033 0.519 0.130 1
Hg4 0.110 0.592 0.380 1
Hg5 0.148 0.169 0.754 1
Hg6 0.169 0.656 0.628 1
Hg7 0.175 0.168 0.061 1
Hg8 0.202 0.728 0.888 1
Hg9 0.277 0.795 0.123 1
Hg10 0.341 0.338 0.754 1
Hg11 0.346 0.836 0.382 1
Hg12 0.386 0.386 0.022 1
Hg13 0.395 0.907 0.631 1
Hg14 0.453 0.436 0.270 1
Hg15 0.480 0.967 0.872 1
Hg16 0.520 0.033 0.128 1
Hg17 0.547 0.564 0.730 1
Hg18 0.605 0.093 0.369 1
Hg19 0.614 0.614 0.978 1
Hg20 0.654 0.164 0.618 1
Hg21 0.659 0.662 0.246 1
Hg22 0.723 0.205 0.877 1
Hg23 0.798 0.272 0.112 1
Hg24 0.825 0.832 0.939 1
Hg25 0.831 0.344 0.372 1
Hg26 0.852 0.831 0.246 1
Hg27 0.890 0.408 0.620 1
Hg28 0.967 0.481 0.870 1
# - energy of formation from the pure elements (meV per atom) = -97
# - symmetry = P-1, No. 2
# - total energy (eV per atom) = -0.66
# - density (g/cm3) = 11.4
# - density of states at the Fermi level (states/eV/atom) = 0.27
# - crystal system = triclinic

(12)
# GGA-PBE Ba2Ag3Hg6, optimized geometry
data_Ba2Ag3Hg6
_cell_length_a 8.686
_cell_length_b 8.686
_cell_length_c 4.804
_cell_angle_alpha 90.00
_cell_angle_beta 90.00
_cell_angle_gamma 120.00
_space_group_name_H-M_alt 'P 1'
_space_group_IT_number 1
_space_group_name_Hall 'P 1'
loop_
_atom_site_label
_atom_site_fract_x
_atom_site_fract_y
_atom_site_fract_z
_atom_site_occupancy
Ba1 0.333 0.667 0.000 1
Ba2 0.667 0.333 0.000 1
Ag1 0.000 0.624 0.500 1
Ag2 0.376 0.376 0.500 1
Ag3 0.624 0.000 0.500 1
Hg1 0.000 0.299 0.500 1
Hg2 0.000 0.800 0.000 1
Hg3 0.200 0.200 0.000 1
Hg4 0.299 0.000 0.500 1
Hg5 0.701 0.701 0.500 1
Hg6 0.800 0.000 0.000 1
# - energy of formation from the pure elements (meV per atom) = -237
# - symmetry = P-62m, No. 189
# - total energy (eV per atom) = -1.53
# - density (g/cm3) = 9.5
# - density of states at the Fermi level (states/eV/atom) = 0.42
# - crystal system = hexagonal

Q: Look up the energy of formation from the pure elements of the ninth one.
A: -315 meV per atom

Q: Which formula does entry 10 have?
A: Ba3Ag8Hg3

Q: Number 2 is which compound?
A: Ba12Ag6Hg

Q: The lowest density belongs to which entry?
A: Ba12Ag6Hg